The following is a DFT calculation (GGA-PBE) of a relaxed structure of BaNaEuSn.

Cell: 8.354 8.354 8.354 Å, 90.00 90.00 90.00°
Fractional positions:
Ba 0.000 0.000 0.000
Ba 0.000 0.500 0.500
Ba 0.500 0.000 0.500
Ba 0.500 0.500 0.000
Na 0.250 0.250 0.250
Na 0.250 0.750 0.750
Na 0.750 0.250 0.750
Na 0.750 0.750 0.250
Eu 0.000 0.000 0.500
Eu 0.000 0.500 0.000
Eu 0.500 0.000 0.000
Eu 0.500 0.500 0.500
Sn 0.250 0.250 0.750
Sn 0.250 0.750 0.250
Sn 0.750 0.250 0.250
Sn 0.750 0.750 0.750

Calculated values
**Formation energy from the elements**: -0.3795 eV per atom

***

The following is a DFT calculation (GGA-PBE) of a relaxed structure of BaNaSrEu.

Cell: 9.343 9.343 9.343 Å, 90.00 90.00 90.00°
Fractional positions:
Ba 0.000 0.000 0.000
Ba 0.000 0.500 0.500
Ba 0.500 0.000 0.500
Ba 0.500 0.500 0.000
Na 0.250 0.250 0.250
Na 0.250 0.750 0.750
Na 0.750 0.250 0.750
Na 0.750 0.750 0.250
Sr 0.000 0.000 0.500
Sr 0.000 0.500 0.000
Sr 0.500 0.000 0.000
Sr 0.500 0.500 0.500
Eu 0.250 0.250 0.750
Eu 0.250 0.750 0.250
Eu 0.750 0.250 0.250
Eu 0.750 0.750 0.750

Calculated values
**Formation energy from the elements**: 0.0853 eV per atom

***

The following is a DFT calculation (GGA-PBE) of a relaxed structure of BaNaEuTl.

Cell: 8.486 8.486 8.486 Å, 90.00 90.00 90.00°
Fractional positions:
Ba 0.000 0.000 0.000
Ba 0.000 0.500 0.500
Ba 0.500 0.000 0.500
Ba 0.500 0.500 0.000
Na 0.250 0.250 0.250
Na 0.250 0.750 0.750
Na 0.750 0.250 0.750
Na 0.750 0.750 0.250
Eu 0.000 0.000 0.500
Eu 0.000 0.500 0.000
Eu 0.500 0.000 0.000
Eu 0.500 0.500 0.500
Tl 0.250 0.250 0.750
Tl 0.250 0.750 0.250
Tl 0.750 0.250 0.250
Tl 0.750 0.750 0.750

Calculated values
**Formation energy from the elements**: -0.1778 eV per atom

***

The following is a DFT calculation (GGA-PBE) of a relaxed structure of BaNaEuZn.

Cell: 8.346 8.346 8.346 Å, 90.00 90.00 90.00°
Fractional positions:
Ba 0.000 0.000 0.000
Ba 0.000 0.500 0.500
Ba 0.500 0.000 0.500
Ba 0.500 0.500 0.000
Na 0.250 0.250 0.250
Na 0.250 0.750 0.750
Na 0.750 0.250 0.750
Na 0.750 0.750 0.250
Eu 0.000 0.000 0.500
Eu 0.000 0.500 0.000
Eu 0.500 0.000 0.000
Eu 0.500 0.500 0.500
Zn 0.250 0.250 0.750
Zn 0.250 0.750 0.250
Zn 0.750 0.250 0.250
Zn 0.750 0.750 0.750

Calculated values
**Formation energy from the elements**: -0.0023 eV per atom

***

The following is a DFT calculation (GGA-PBE) of a relaxed structure of BaNdEuNbO6.

Cell: 6.018 6.090 8.554 Å, 89.48 89.37 89.84°
Fractional positions:
Ba 0.005 0.030 0.250
Ba 0.995 0.970 0.750
Nd 0.000 0.500 0.000
Nd 0.500 0.000 0.500
Eu 0.487 0.541 0.248
Eu 0.513 0.459 0.752
Nb 0.000 0.500 0.500
Nb 0.500 0.000 0.000
O 0.100 0.502 0.729
O 0.199 0.763 0.458
O 0.229 0.807 0.031
O 0.266 0.305 0.444
O 0.317 0.277 0.053
O 0.432 0.049 0.770
O 0.568 0.951 0.230
O 0.683 0.723 0.947
O 0.734 0.695 0.556
O 0.771 0.193 0.969
O 0.801 0.237 0.542
O 0.900 0.498 0.271

Calculated values
**Uncorrected formation energy**: -67.85 kcal/mol of atoms

***

The following is a DFT calculation (GGA-PBE) of a relaxed structure of BaNdEuNbO6.

Cell: 6.125 6.125 6.125 Å, 60.00 60.00 60.00°
Fractional positions:
Ba 0.000 0.000 0.000
Nd 0.750 0.750 0.750
Eu 0.500 0.500 0.500
Nb 0.250 0.250 0.250
O 0.017 0.017 0.483
O 0.017 0.483 0.017
O 0.017 0.483 0.483
O 0.483 0.017 0.017
O 0.483 0.017 0.483
O 0.483 0.483 0.017

Calculated values
**Uncorrected formation energy**: -66.12 kcal/mol of atoms

***

The following is a DFT calculation (GGA-PBE) of a relaxed structure of BaEuNbSnO6.

Cell: 5.964 5.964 5.964 Å, 60.00 60.00 60.00°
Fractional positions:
Ba 0.000 0.000 0.000
Eu 0.500 0.500 0.500
Nb 0.750 0.750 0.750
Sn 0.250 0.250 0.250
O 0.510 0.510 0.990
O 0.510 0.990 0.510
O 0.510 0.990 0.990
O 0.990 0.510 0.510
O 0.990 0.510 0.990
O 0.990 0.990 0.510

Calculated values
**Uncorrected formation energy**: -54.52 kcal/mol of atoms

***

The following is a DFT calculation (GGA-PBE) of a relaxed structure of BaNdEu.

Cell: 3.949 3.949 9.787 Å, 90.00 90.00 120.00°
Fractional positions:
Ba 0.000 0.000 0.000
Nd 0.667 0.333 0.338
Eu 0.333 0.667 0.640

Calculated values
**Formation energy from the elements**: 0.1256 eV per atom

***

The following is a DFT calculation (GGA-PBE) of a relaxed structure of BaNdEu.

Cell: 3.944 3.944 17.194 Å, 90.00 90.00 90.00°
Fractional positions:
Ba 0.000 0.000 0.000
Ba 0.500 0.500 0.500
Nd 0.000 0.000 0.669
Nd 0.500 0.500 0.169
Eu 0.000 0.000 0.315
Eu 0.500 0.500 0.815

Calculated values
**Formation energy from the elements**: 0.1208 eV per atom

***

The following is a DFT calculation (GGA-PBE) of a relaxed structure of BaNdEuSbO6.

Cell: 6.093 6.093 6.093 Å, 60.00 60.00 60.00°
Fractional positions:
Ba 0.000 0.000 0.000
Nd 0.750 0.750 0.750
Eu 0.500 0.500 0.500
Sb 0.250 0.250 0.250
O 0.017 0.017 0.483
O 0.017 0.483 0.017
O 0.017 0.483 0.483
O 0.483 0.017 0.017
O 0.483 0.017 0.483
O 0.483 0.483 0.017

Calculated values
**Uncorrected formation energy**: -58.14 kcal/mol of atoms

***

The following is a DFT calculation (GGA-PBE) of a relaxed structure of BaNdEuSbO6.

Cell: 6.038 6.074 8.561 Å, 89.71 89.51 89.91°
Fractional positions:
Ba 0.006 0.023 0.250
Ba 0.994 0.977 0.750
Nd 0.000 0.500 0.000
Nd 0.500 0.000 0.500
Eu 0.491 0.533 0.248
Eu 0.509 0.467 0.752
Sb 0.000 0.500 0.500
Sb 0.500 0.000 0.000
O 0.091 0.497 0.730
O 0.205 0.758 0.463
O 0.235 0.800 0.026
O 0.260 0.299 0.448
O 0.311 0.272 0.048
O 0.440 0.045 0.769
O 0.560 0.955 0.231
O 0.689 0.728 0.952
O 0.740 0.701 0.552
O 0.765 0.200 0.974
O 0.795 0.242 0.537
O 0.909 0.503 0.270

Calculated values
**Uncorrected formation energy**: -59.15 kcal/mol of atoms

***

no.,total energy (eV per atom),spin magnetization (μB/cell)
1,-4.76,28.41
2,-3.71,31.06
3,-4.15,28.63
4,-3.70,30.13
5,-8.62,14.00
6,-8.55,7.00
7,-7.97,7.19
8,-5.53,7.55
9,-5.53,15.23
10,-7.60,7.00
11,-7.65,13.98